No. 1
# HoErSnC PBE-GGA relaxed
# Total DFT energy (no corrections) (eV per atom): -6.160
data_HoErSnC
_cell_length_a 3.5923
_cell_length_b 3.5923
_cell_length_c 15.7267
_cell_angle_alpha 90.00
_cell_angle_beta 90.00
_cell_angle_gamma 120.00
_space_group_name_H-M_alt 'P 63 m c'
_space_group_IT_number 186
_space_group_name_Hall 'P 6c -2c'
loop_
_atom_site_label
_atom_site_fract_x
_atom_site_fract_y
_atom_site_fract_z
Ho1 0.3333 0.6667 0.0000
Er1 0.3333 0.6667 0.3312
Sn1 0.3333 0.6667 0.6659
C1 0.0000 0.0000 0.4153

=====

No. 2
# NdErH2Br4 PBE-GGA relaxed
# Total DFT energy (no corrections) (eV per atom): -4.352
data_NdErH2Br4
_cell_length_a 3.8974
_cell_length_b 3.8974
_cell_length_c 14.8466
_cell_angle_alpha 90.00
_cell_angle_beta 90.00
_cell_angle_gamma 120.00
_space_group_name_H-M_alt 'P -6 m 2'
_space_group_IT_number 187
_space_group_name_Hall 'P -6 2'
loop_
_atom_site_label
_atom_site_fract_x
_atom_site_fract_y
_atom_site_fract_z
Nd1 0.0000 0.0000 0.0000
Er1 0.0000 0.0000 0.5000
H1 0.3333 0.6667 0.5000
H2 0.6667 0.3333 0.0000
Br1 0.3333 0.6667 0.1336
Br2 0.6667 0.3333 0.3741

=====

No. 3
# NdMg PBE-GGA relaxed
# Excess energy over the best structure of this formula in the dataset (meV per atom): 131.6
data_NdMg
_cell_length_a 7.396
_cell_length_b 5.482
_cell_length_c 8.914
_cell_angle_alpha 90.00
_cell_angle_beta 101.74
_cell_angle_gamma 90.00
_space_group_name_H-M_alt 'P 1 21/m 1'
_space_group_IT_number 11
loop_
_space_group_symop_operation_xyz
'x,y,z'
'-x,-y,-z'
'-x,y+1/2,-z'
'x,-y+1/2,z'
loop_
_atom_site_label
_atom_site_fract_x
_atom_site_fract_y
_atom_site_fract_z
Nd1 0.037 0.250 0.122
Nd2 0.303 0.750 0.239
Nd3 0.462 0.750 0.863
Mg1 0.113 0.750 0.547
Mg2 0.191 0.250 0.778
Mg3 0.349 0.250 0.468

=====

No. 4
# Al2SiNi PBE-GGA relaxed
# Total DFT energy (no corrections) (eV per atom): -4.578
data_Al2SiNi
_cell_length_a 6.081
_cell_length_b 6.081
_cell_length_c 6.081
_cell_angle_alpha 90.00
_cell_angle_beta 90.00
_cell_angle_gamma 90.00
_space_group_name_H-M_alt 'F -4 3 m'
_space_group_IT_number 216
_space_group_name_Hall 'F -4 2 3'
loop_
_atom_site_label
_atom_site_fract_x
_atom_site_fract_y
_atom_site_fract_z
Al1 0.000 0.000 0.000
Al2 0.250 0.250 0.250
Si1 0.000 0.000 0.500
Ni1 0.250 0.250 0.750

=====

No. 5
# SrNbAu PBE-GGA relaxed
# Excess energy over the best structure of this formula in the dataset (meV per atom): 0.0
data_SrNbAu
_cell_length_a 6.725
_cell_length_b 6.725
_cell_length_c 6.725
_cell_angle_alpha 90.00
_cell_angle_beta 90.00
_cell_angle_gamma 90.00
_space_group_name_H-M_alt 'F -4 3 m'
_space_group_IT_number 216
_space_group_name_Hall 'F -4 2 3'
loop_
_atom_site_label
_atom_site_fract_x
_atom_site_fract_y
_atom_site_fract_z
Sr1 0.000 0.000 0.000
Nb1 0.250 0.250 0.750
Au1 0.000 0.000 0.500

=====

No. 6
# BeGaCoPb PBE-GGA relaxed
# Excess energy over the best structure of this formula in the dataset (meV per atom): 132.6
data_BeGaCoPb
_cell_length_a 6.388
_cell_length_b 6.388
_cell_length_c 6.388
_cell_angle_alpha 90.00
_cell_angle_beta 90.00
_cell_angle_gamma 90.00
_space_group_name_H-M_alt 'F -4 3 m'
_space_group_IT_number 216
_space_group_name_Hall 'F -4 2 3'
loop_
_atom_site_label
_atom_site_fract_x
_atom_site_fract_y
_atom_site_fract_z
Be1 0.000 0.000 0.000
Ga1 0.000 0.000 0.500
Co1 0.250 0.250 0.750
Pb1 0.250 0.250 0.250

=====

No. 7
# Ho2SiO4 PBE-GGA relaxed
# Excess energy over the best structure of this formula in the dataset (meV per atom): 27.0
data_Ho2SiO4
_cell_length_a 6.046
_cell_length_b 6.664
_cell_length_c 10.059
_cell_angle_alpha 90.00
_cell_angle_beta 117.03
_cell_angle_gamma 90.00
_space_group_name_H-M_alt 'P 1 21/c 1'
_space_group_IT_number 14
loop_
_space_group_symop_operation_xyz
'x,y,z'
'-x,-y,-z'
'-x,y+1/2,-z+1/2'
'x,-y+1/2,z+1/2'
loop_
_atom_site_label
_atom_site_fract_x
_atom_site_fract_y
_atom_site_fract_z
Ho1 0.064 0.072 0.219
Ho2 0.288 0.626 0.071
Si1 0.421 0.168 0.112
O1 0.062 0.104 0.635
O2 0.260 0.538 0.514
O3 0.266 0.750 0.281
O4 0.349 0.171 0.466

=====

No. 8
# HgH4C8S2N5 PBE-GGA relaxed
# Total DFT energy (no corrections) (eV per atom): -6.662
data_HgH4C8S2N5
_cell_length_a 9.308
_cell_length_b 10.462
_cell_length_c 12.437
_cell_angle_alpha 90.00
_cell_angle_beta 117.87
_cell_angle_gamma 90.00
_space_group_name_H-M_alt 'P 1 21/c 1'
_space_group_IT_number 14
loop_
_space_group_symop_operation_xyz
'x,y,z'
'-x,-y,-z'
'-x,y+1/2,-z+1/2'
'x,-y+1/2,z+1/2'
loop_
_atom_site_label
_atom_site_fract_x
_atom_site_fract_y
_atom_site_fract_z
Hg1 0.197 0.110 0.336
H1 0.124 0.714 0.138
H2 0.411 0.592 0.570
H3 0.425 0.746 0.755
H4 0.428 0.188 0.027
C1 0.087 0.548 0.454
C2 0.186 0.603 0.402
C3 0.193 0.688 0.234
C4 0.207 0.225 0.624
C5 0.353 0.620 0.474
C6 0.360 0.710 0.299
C7 0.393 0.546 0.075
C8 0.441 0.674 0.421
S1 0.202 0.565 0.971
S2 0.240 0.177 0.760
N1 0.063 0.003 0.122
N2 0.108 0.635 0.284
N3 0.152 0.546 0.576
N4 0.182 0.243 0.025
N5 0.472 0.035 0.346

=====

No. 9
# Li2CoH6Ir PBE-GGA relaxed
# Total DFT energy (no corrections) (eV per atom): -4.223
data_Li2CoH6Ir
_cell_length_a 6.617
_cell_length_b 6.617
_cell_length_c 6.617
_cell_angle_alpha 90.00
_cell_angle_beta 90.00
_cell_angle_gamma 90.00
_space_group_name_H-M_alt 'F m -3 m'
_space_group_IT_number 225
_space_group_name_Hall '-F 4 2 3'
loop_
_atom_site_label
_atom_site_fract_x
_atom_site_fract_y
_atom_site_fract_z
Li1 0.250 0.250 0.250
Co1 0.000 0.000 0.000
H1 0.000 0.000 0.243
Ir1 0.000 0.000 0.500

=====

No. 10
# PrNdAg2Bi4 PBE-GGA relaxed
# Total DFT energy (no corrections) (eV per atom): -4.462
data_PrNdAg2Bi4
_cell_length_a 4.607
_cell_length_b 4.607
_cell_length_c 10.509
_cell_angle_alpha 90.00
_cell_angle_beta 90.00
_cell_angle_gamma 90.00
_space_group_name_H-M_alt 'P 4 m m'
_space_group_IT_number 99
loop_
_space_group_symop_operation_xyz
'x,y,z'
'-y,x,z'
'-x,-y,z'
'y,-x,z'
'-x,y,z'
'y,x,z'
'x,-y,z'
'-y,-x,z'
loop_
_atom_site_label
_atom_site_fract_x
_atom_site_fract_y
_atom_site_fract_z
Pr1 0.000 0.000 0.000
Nd1 0.500 0.500 0.501
Ag1 0.000 0.500 0.251
Bi1 0.000 0.000 0.432
Bi2 0.000 0.500 0.750
Bi3 0.500 0.500 0.069

=====

No. 11
# ZrFeSbIr PBE-GGA relaxed
# Excess energy over the best structure of this formula in the dataset (meV per atom): 0.0
data_ZrFeSbIr
_cell_length_a 6.475
_cell_length_b 6.475
_cell_length_c 6.475
_cell_angle_alpha 90.00
_cell_angle_beta 90.00
_cell_angle_gamma 90.00
_space_group_name_H-M_alt 'F -4 3 m'
_space_group_IT_number 216
_space_group_name_Hall 'F -4 2 3'
loop_
_atom_site_label
_atom_site_fract_x
_atom_site_fract_y
_atom_site_fract_z
Zr1 0.000 0.000 0.000
Fe1 0.250 0.250 0.750
Sb1 0.000 0.000 0.500
Ir1 0.250 0.250 0.250

=====

No. 12
# NaNbPO PBE-GGA relaxed
# Excess energy over the best structure of this formula in the dataset (meV per atom): 123.7
data_NaNbPO
_cell_length_a 3.833
_cell_length_b 6.713
_cell_length_c 5.162
_cell_angle_alpha 90.00
_cell_angle_beta 90.00
_cell_angle_gamma 90.00
_space_group_name_H-M_alt 'P m c 21'
_space_group_IT_number 26
loop_
_space_group_symop_operation_xyz
'x,y,z'
'-x,-y,z+1/2'
'-x,y,z'
'x,-y,z+1/2'
loop_
_atom_site_label
_atom_site_fract_x
_atom_site_fract_y
_atom_site_fract_z
Na1 0.000 0.001 0.000
Nb1 0.500 0.360 0.748
P1 0.500 0.283 0.248
O1 0.000 0.275 0.748

=====

No. 13
# TaTcNiBi PBE-GGA relaxed
# Excess energy over the best structure of this formula in the dataset (meV per atom): 0.0
data_TaTcNiBi
_cell_length_a 6.476
_cell_length_b 6.476
_cell_length_c 6.476
_cell_angle_alpha 90.00
_cell_angle_beta 90.00
_cell_angle_gamma 90.00
_space_group_name_H-M_alt 'F -4 3 m'
_space_group_IT_number 216
_space_group_name_Hall 'F -4 2 3'
loop_
_atom_site_label
_atom_site_fract_x
_atom_site_fract_y
_atom_site_fract_z
Ta1 0.000 0.000 0.000
Tc1 0.250 0.250 0.250
Ni1 0.250 0.250 0.750
Bi1 0.000 0.000 0.500

=====

No. 14
# RbGaPd PBE-GGA relaxed
# Excess energy over the best structure of this formula in the dataset (meV per atom): 119.4
data_RbGaPd
_cell_length_a 7.063
_cell_length_b 7.063
_cell_length_c 7.063
_cell_angle_alpha 90.00
_cell_angle_beta 90.00
_cell_angle_gamma 90.00
_space_group_name_H-M_alt 'F -4 3 m'
_space_group_IT_number 216
_space_group_name_Hall 'F -4 2 3'
loop_
_atom_site_label
_atom_site_fract_x
_atom_site_fract_y
_atom_site_fract_z
Rb1 0.000 0.000 0.000
Ga1 0.250 0.250 0.750
Pd1 0.000 0.000 0.500

=====

No. 15
# U2B3F2 PBE-GGA relaxed
# Total DFT energy (no corrections) (eV per atom): -7.356
data_U2B3F2
_cell_length_a 3.588
_cell_length_b 17.299
_cell_length_c 3.423
_cell_angle_alpha 90.00
_cell_angle_beta 90.00
_cell_angle_gamma 90.00
_space_group_name_H-M_alt 'C m m m'
_space_group_IT_number 65
_space_group_name_Hall '-C 2 2'
loop_
_atom_site_label
_atom_site_fract_x
_atom_site_fract_y
_atom_site_fract_z
U1 0.000 0.082 0.000
B1 0.000 0.408 0.500
B2 0.000 0.500 0.500
F1 0.000 0.197 0.000

=====

No. 16
# Pu2H2BrCl3 PBE-GGA relaxed
# Total DFT energy (no corrections) (eV per atom): -6.695
data_Pu2H2BrCl3
_cell_length_a 3.8430
_cell_length_b 3.8430
_cell_length_c 13.5838
_cell_angle_alpha 90.00
_cell_angle_beta 90.00
_cell_angle_gamma 120.00
_space_group_name_H-M_alt 'P 3 m 1'
_space_group_IT_number 156
loop_
_space_group_symop_operation_xyz
'x,y,z'
'-y,x-y,z'
'-x+y,-x,z'
'-y,-x,z'
'-x+y,y,z'
'x,x-y,z'
loop_
_atom_site_label
_atom_site_fract_x
_atom_site_fract_y
_atom_site_fract_z
Pu1 0.0000 0.0000 0.0000
Pu2 0.0000 0.0000 0.4935
H1 0.3333 0.6667 0.9961
H2 0.6667 0.3333 0.4937
Br1 0.6667 0.3333 0.8546
Cl1 0.3333 0.6667 0.3633
Cl2 0.3333 0.6667 0.6233
Cl3 0.6667 0.3333 0.1280

=====

No. 17
# SmHgTeO PBE-GGA relaxed
# Excess energy over the best structure of this formula in the dataset (meV per atom): 0.0
data_SmHgTeO
_cell_length_a 4.184
_cell_length_b 4.184
_cell_length_c 10.618
_cell_angle_alpha 90.00
_cell_angle_beta 90.00
_cell_angle_gamma 90.00
_space_group_name_H-M_alt 'P 4/n m m'
_space_group_IT_number 129
loop_
_space_group_symop_operation_xyz
'x,y,z'
'-x,-y,-z'
'-y+1/2,x,z'
'y+1/2,-x,-z'
'-x+1/2,-y+1/2,z'
'x+1/2,y+1/2,-z'
'y,-x+1/2,z'
'-y,x+1/2,-z'
'x+1/2,-y,-z'
'-x+1/2,y,z'
'-y,-x,-z'
'y,x,z'
'-x,y+1/2,-z'
'x,-y+1/2,z'
'y+1/2,x+1/2,-z'
'-y+1/2,-x+1/2,z'
loop_
_atom_site_label
_atom_site_fract_x
_atom_site_fract_y
_atom_site_fract_z
Sm1 0.250 0.250 0.100
Hg1 0.250 0.750 0.500
Te1 0.250 0.250 0.735
O1 0.250 0.750 0.000